Entry 1:
An optimized crystal structure of Cs3SmNb2O8, computed with PBE-GGA.

Summary:
Fermi-level density of states = 0.000 states/eV/atom
formation energy (no corrections) = -2554 meV/atom

Cell lengths 6.4474, 6.4474, 8.5128 Å; angles 90.00, 90.00, 120.00 degrees
Closest atoms and distances in Å follow each position.
Fractional positions:
Cs (0.3333, 0.6667, 0.7162)  1 O 2.87
Cs (0.6667, 0.3333, 0.2838)  1 O 2.87
Cs (0.0000, 0.0000, 0.0000)  12 O 3.47-3.75
Sm (0.0000, 0.0000, 0.5000)  6 O 2.36
Nb (0.3333, 0.6667, 0.2675)  4 O 1.82-1.90
Nb (0.6667, 0.3333, 0.7325)  4 O 1.82-1.90
O (0.3333, 0.6667, 0.0531)  1 Nb 1.82
O (0.6667, 0.3333, 0.9469)  1 Nb 1.82
O (0.1720, 0.8280, 0.3393)  1 Nb 1.90
O (0.8280, 0.1720, 0.6607)  1 Nb 1.90
O (0.1720, 0.3440, 0.3393)  1 Nb 1.90
O (0.8280, 0.6560, 0.6607)  1 Nb 1.90
O (0.6560, 0.8280, 0.3393)  1 Nb 1.90
O (0.3440, 0.1720, 0.6607)  1 Nb 1.90

Entry 2:
An optimized crystal structure of NbV3W6, computed with PBE-GGA.

Summary:
total energy = -11.44 eV/atom
Fermi-level density of states = 0.681 states/eV/atom

Cell lengths 2.7368, 13.0560, 9.2502 Å; angles 102.37, 84.15, 90.16 degrees
Closest atoms and distances in Å follow each position.
Fractional positions:
Nb (0.7308, 0.6270, 0.8709)  2 Nb 2.74, 4 W 2.77-2.87, 1 V 2.77
Nb (0.2692, 0.3730, 0.1291)  2 Nb 2.74, 4 W 2.77-2.87, 1 V 2.77
V (0.8604, 0.4054, 0.4224)  3 W 2.58-2.68, 4 V 2.65-2.74, 1 Nb 2.77
V (0.1396, 0.5946, 0.5776)  3 W 2.58-2.68, 4 V 2.65-2.74, 1 Nb 2.77
V (0.8535, 0.7380, 0.4391)  5 W 2.58-2.71, 3 V 2.65-2.74
V (0.1465, 0.2620, 0.5609)  5 W 2.58-2.71, 3 V 2.65-2.74
V (0.7107, 0.9757, 0.8609)  3 V 2.66-2.74, 5 W 2.67-2.73
V (0.2893, 0.0243, 0.1391)  3 V 2.66-2.74, 5 W 2.67-2.73
W (0.8599, 0.0735, 0.4235)  2 V 2.67-2.71, 6 W 2.69-2.77
W (0.1401, 0.9265, 0.5765)  2 V 2.67-2.71, 6 W 2.69-2.77
W (0.0017, 0.1664, 0.9952)  2 V 2.67-2.69, 5 W 2.71-2.74, 1 Nb 2.84
W (0.9983, 0.8336, 0.0048)  2 V 2.67-2.69, 5 W 2.71-2.74, 1 Nb 2.84
W (0.4228, 0.7823, 0.7207)  3 V 2.68-2.73, 4 W 2.69-2.74, 1 Nb 2.87
W (0.5772, 0.2177, 0.2793)  3 V 2.68-2.73, 4 W 2.69-2.74, 1 Nb 2.87
W (0.5931, 0.5550, 0.3036)  3 V 2.58-2.65, 3 W 2.64-2.74, 1 Nb 2.77
W (0.4069, 0.4450, 0.6964)  3 V 2.58-2.65, 3 W 2.64-2.74, 1 Nb 2.77
W (0.7386, 0.3105, 0.8415)  6 W 2.64-2.95, 1 V 2.66, 1 Nb 2.79
W (0.2614, 0.6895, 0.1585)  6 W 2.64-2.95, 1 V 2.66, 1 Nb 2.79
W (0.5698, 0.8822, 0.2905)  6 W 2.69-2.74, 2 V 2.71
W (0.4302, 0.1178, 0.7095)  6 W 2.69-2.74, 2 V 2.71

Entry 3:
An optimized crystal structure of AcSnF5, computed with PBE-GGA.

Summary:
Fermi-level density of states = 0.000 states/eV/atom
formation energy (no corrections) = -3314 meV/atom

Cell lengths 5.1480, 5.1480, 8.7236 Å; angles 89.55, 89.55, 92.05 degrees
Closest atoms and distances in Å follow each position.
Fractional positions:
Ac (0.5333, 0.5287, 0.2460)  7 F 2.46-2.64
Ac (0.5287, 0.5333, 0.7460)  7 F 2.46-2.64
Sn (0.9940, 0.0573, 0.9985)  4 F 2.24-2.37
Sn (0.0573, 0.9940, 0.4985)  4 F 2.24-2.37
F (0.6829, 0.0005, 0.8225)  1 Sn 2.24
F (0.0005, 0.6829, 0.3225)  1 Sn 2.24
F (0.0162, 0.6379, 0.6704)  1 Sn 2.36, 1 Ac 2.63
F (0.2074, 0.1689, 0.7643)  2 Sn 2.37-2.61, 1 Ac 2.46
F (0.3144, 0.5751, 0.9983)  2 Ac 2.46-2.47, 2 F 2.62-2.70
F (0.4434, 0.8013, 0.4939)  1 Sn 2.25
F (0.8013, 0.4434, 0.9939)  1 Sn 2.25
F (0.5751, 0.3144, 0.4983)  2 Ac 2.46-2.47, 2 F 2.62-2.70
F (0.6379, 0.0162, 0.1704)  1 Sn 2.36, 1 Ac 2.63
F (0.1689, 0.2074, 0.2643)  2 Sn 2.37-2.61, 1 Ac 2.46

Entry 4:
An optimized crystal structure of Y2CuOs, computed with PBE-GGA.

Summary:
total energy = -7.26 eV/atom
Fermi-level density of states = 0.536 states/eV/atom

Cell lengths 7.6888, 4.8494, 3.4763 Å; angles 90.03, 63.07, 129.08 degrees
Closest atoms and distances in Å follow each position.
Fractional positions:
Y (0.0000, 0.0000, 0.0000)  4 Cu 2.98, 4 Os 2.98
Y (0.5000, 0.0000, 0.5000)  4 Os 2.98, 4 Cu 2.98
Os (0.5000, 0.5000, 0.0000)  8 Y 2.98
Cu (0.0000, 0.5000, 0.5000)  8 Y 2.98

Entry 5:
An optimized crystal structure of Ba8SnBi3I4, computed with PBE-GGA.

Summary:
Fermi-level density of states = 0.444 states/eV/atom
formation energy (no corrections) = -1221 meV/atom

Cell lengths 10.2381, 10.3581, 10.2367 Å; angles 119.62, 120.00, 90.00 degrees
Closest atoms and distances in Å follow each position.
Fractional positions:
Ba (0.2405, 0.7225, 0.9826)  1 Sn 3.50, 2 Bi 3.51-3.52, 3 I 3.78-3.79
Ba (0.2406, 0.7226, 0.4813)  1 Sn 3.51, 2 Bi 3.51, 3 I 3.78
Ba (0.2603, 0.2812, 0.5206)  3 Bi 3.49, 3 I 3.80
Ba (0.7420, 0.7225, 0.9826)  1 Sn 3.50, 2 Bi 3.51-3.52, 3 I 3.78-3.79
Ba (0.2580, 0.2775, 0.0174)  1 Sn 3.50, 2 Bi 3.51-3.52, 3 I 3.78-3.79
Ba (0.7397, 0.7188, 0.4794)  3 Bi 3.49, 3 I 3.80
Ba (0.7594, 0.2774, 0.5187)  1 Sn 3.51, 2 Bi 3.51, 3 I 3.78
Ba (0.7595, 0.2775, 0.0174)  1 Sn 3.50, 2 Bi 3.51-3.52, 3 I 3.78-3.79
Sn (0.0000, 0.5000, 0.0000)  6 Ba 3.50-3.51
Bi (0.5000, 0.5000, 0.0000)  6 Ba 3.49-3.51
Bi (0.5000, 0.5000, 0.5000)  6 Ba 3.49-3.52
Bi (0.0000, 0.5000, 0.5000)  6 Ba 3.49-3.52
I (0.5000, 0.0000, 0.0000)  6 Ba 3.78-3.79
I (0.5000, 0.0000, 0.5000)  6 Ba 3.78-3.80
I (0.0000, 0.0000, 0.0000)  6 Ba 3.78-3.80
I (0.0000, 0.0000, 0.5000)  6 Ba 3.78-3.80

Entry 6:
An optimized crystal structure of Cu4As3, computed with PBE-GGA.

Summary:
Fermi-level density of states = 0.416 states/eV/atom
offset from the most stable computed form = 0 meV/atom

Cell lengths 11.1866, 11.1866, 11.1866 Å; angles 163.61, 163.61, 23.26 degrees
Closest atoms and distances in Å follow each position.
Fractional positions:
Cu (0.8763, 0.8763, 0.0000)  5 As 2.57-2.71, 4 Cu 2.62
Cu (0.1237, 0.1237, 0.0000)  5 As 2.57-2.71, 4 Cu 2.62
Cu (0.5625, 0.5625, 0.0000)  5 As 2.58-2.64, 5 Cu 2.62-2.74
Cu (0.4375, 0.4375, 0.0000)  5 As 2.58-2.64, 5 Cu 2.62-2.74
As (0.0000, 0.0000, 0.0000)  10 Cu 2.64-2.71
As (0.6801, 0.6801, 0.0000)  5 Cu 2.57-2.58
As (0.3199, 0.3199, 0.0000)  5 Cu 2.57-2.58

Entry 7:
An optimized crystal structure of Pm3ZnRh2, computed with PBE-GGA.

Summary:
Fermi-level density of states = 0.706 states/eV/atom
offset from the most stable computed form = 26 meV/atom

Cell lengths 3.5837, 3.5837, 10.6227 Å; angles 90.00, 90.00, 90.00 degrees
Closest atoms and distances in Å follow each position.
Fractional positions:
Pm (0.0000, 0.0000, 0.0000)  8 Rh 3.08, 2 Pm 3.41
Pm (0.0000, 0.0000, 0.6795)  4 Rh 3.02, 4 Zn 3.17
Pm (0.0000, 0.0000, 0.3205)  4 Rh 3.02, 4 Zn 3.17
Zn (0.5000, 0.5000, 0.5000)  8 Pm 3.17
Rh (0.5000, 0.5000, 0.8349)  8 Pm 3.02-3.08
Rh (0.5000, 0.5000, 0.1651)  8 Pm 3.02-3.08

Entry 8:
An optimized crystal structure of RbPH2O4, computed with PBE-GGA.

Summary:
Fermi-level density of states = 0.000 states/eV/atom
offset from the most stable computed form = 10 meV/atom

Cell lengths 6.2257, 4.9141, 7.6038 Å; angles 73.91, 90.00, 90.00 degrees
Closest atoms and distances in Å follow each position.
Fractional positions:
Rb (0.7500, 0.2068, 0.7398)  8 O 3.01-3.36, 4 H 3.16-3.22
Rb (0.2500, 0.7932, 0.2602)  8 O 3.01-3.36, 4 H 3.16-3.22
P (0.2500, 0.7048, 0.7593)  4 O 1.52-1.59
P (0.7500, 0.2952, 0.2407)  4 O 1.52-1.59
H (0.2500, 0.1790, 0.6391)  1 O 1.03
H (0.7500, 0.8210, 0.3609)  1 O 1.03
H (0.0000, 0.5000, 0.0000)  2 O 1.21
H (0.5000, 0.5000, 0.0000)  2 O 1.21
O (0.2500, 0.9941, 0.6015)  1 H 1.03
O (0.7500, 0.0059, 0.3985)  1 H 1.03
O (0.2500, 0.4713, 0.6643)  1 H 1.50, 1 P 1.52
O (0.7500, 0.5287, 0.3357)  1 H 1.50, 1 P 1.52
O (0.0448, 0.7065, 0.8769)  1 H 1.21
O (0.5448, 0.2935, 0.1231)  1 H 1.21
O (0.9552, 0.2935, 0.1231)  1 H 1.21
O (0.4552, 0.7065, 0.8769)  1 H 1.21

Entry 9:
An optimized crystal structure of CsCoOs2N, computed with PBE-GGA.

Summary:
Fermi-level density of states = 2.425 states/eV/atom
formation energy (no corrections) = 2788 meV/atom

Cell lengths 4.4523, 6.5608, 4.4523 Å; angles 90.00, 90.00, 90.00 degrees
Closest atoms and distances in Å follow each position.
Fractional positions:
Cs (0.0000, 0.5000, 0.0000)  4 N 3.15, 2 Co 3.28
Co (0.0000, 0.0000, 0.0000)  4 Os 2.23
Os (0.0000, 0.0000, 0.5000)  2 Co 2.23
Os (0.5000, 0.0000, 0.0000)  2 Co 2.23
N (0.5000, 0.5000, 0.5000)  4 Cs 3.15

Entry 10:
An optimized crystal structure of ScCl, computed with PBE-GGA.

Summary:
Fermi-level density of states = 0.698 states/eV/atom
formation energy (no corrections) = -1195 meV/atom

Cell lengths 6.5990, 6.5990, 6.7191 Å; angles 61.84, 61.84, 29.72 degrees
Closest atoms and distances in Å follow each position.
Fractional positions:
Sc (0.0089, 0.0089, 0.0870)  4 Cl 2.64-2.70
Sc (0.0787, 0.0787, 0.4519)  5 Cl 2.71-2.89, 1 Sc 2.99
Sc (0.7436, 0.7436, 0.9981)  5 Cl 2.68-2.74
Cl (0.6267, 0.6267, 0.7473)  5 Sc 2.64-2.89
Cl (0.3222, 0.3222, 0.2169)  5 Sc 2.70-2.73
Cl (0.3865, 0.3865, 0.6655)  4 Sc 2.68-2.74

Entry 11:
An optimized crystal structure of Tc2PbO6, computed with PBE-GGA.

Summary:
Fermi-level density of states = 0.089 states/eV/atom
formation energy (no corrections) = -1270 meV/atom

Cell lengths 4.0056, 5.3210, 7.1287 Å; angles 71.30, 73.68, 67.89 degrees
Closest atoms and distances in Å follow each position.
Fractional positions:
Tc (0.8206, 0.7573, 0.6015)  4 O 1.82-2.02
Tc (0.1794, 0.2427, 0.3985)  4 O 1.82-2.02
Pb (0.0000, 0.0000, 0.0000)  6 O 2.53-2.55
O (0.2891, 0.8512, 0.5707)  3 Tc 2.00-2.06
O (0.7109, 0.1488, 0.4293)  3 Tc 2.00-2.05
O (0.6752, 0.7885, 0.8612)  1 Tc 1.82
O (0.9903, 0.3558, 0.6635)  2 Tc 1.92-2.02
O (0.3248, 0.2115, 0.1388)  1 Tc 1.82
O (0.0097, 0.6442, 0.3365)  2 Tc 1.92-2.02

Entry 12:
An optimized crystal structure of Pm3SmPu3Se8, computed with PBE-GGA.

Summary:
Fermi-level density of states = 2.139 states/eV/atom
formation energy (no corrections) = -1753 meV/atom

Cell lengths 8.3217, 8.3239, 8.3427 Å; angles 119.93, 90.00, 119.99 degrees
Closest atoms and distances in Å follow each position.
Fractional positions:
Pm (0.0000, 0.0000, 0.0000)  6 Se 2.96-2.97
Pm (0.0000, 0.5000, 0.0000)  6 Se 2.96-2.97
Pm (0.5000, 0.5000, 0.0000)  6 Se 2.96-2.97
Sm (0.0000, 0.0000, 0.5000)  6 Se 2.96
Pu (0.5000, 0.0000, 0.5000)  6 Se 2.92-2.93
Pu (0.5000, 0.5000, 0.5000)  6 Se 2.93-2.94
Pu (0.0000, 0.5000, 0.5000)  6 Se 2.93-2.94
Se (0.2521, 0.5042, 0.2556)  3 Pu 2.92-2.93, 3 Pm 2.97
Se (0.7479, 0.4958, 0.7444)  3 Pu 2.92-2.93, 3 Pm 2.97
Se (0.7486, 0.4972, 0.2504)  2 Pu 2.94, 2 Pm 2.96, 1 Sm 2.96
Se (0.2514, 0.5028, 0.7496)  2 Pu 2.94, 2 Pm 2.96, 1 Sm 2.96
Se (0.7485, 0.0019, 0.2509)  2 Pu 2.93-2.94, 2 Pm 2.96, 1 Sm 2.96
Se (0.2515, 0.9981, 0.7491)  2 Pu 2.93-2.94, 2 Pm 2.96, 1 Sm 2.96
Se (0.2534, 0.0019, 0.2509)  2 Pu 2.93-2.94, 2 Pm 2.96, 1 Sm 2.96
Se (0.7466, 0.9981, 0.7491)  2 Pu 2.93-2.94, 2 Pm 2.96, 1 Sm 2.96

Q: Which of these has the highest Fermi-level density of states?
A: CsCoOs2N